Entry 1:
Sn2OsPdPb after structural relaxation, computed with PBE.

Cell: 5.0549 5.3175 5.0549 Å, 90.00 90.00 90.00°
Positions (direct):
Pb 0.0000 0.5000 0.0000
Os 0.5000 0.5000 0.5000
Sn 0.0000 0.0000 0.5000
Sn 0.5000 0.0000 0.0000
Pd 0.0000 0.0000 0.0000

## Properties
The energy is -4.523 eV per atom. For the mass density, the calculation gives 9.059 g cm⁻³. The formation energy comes out at 1.104 eV/atom. The value obtained for the energy above the most stable polymorph in this dataset is 0.90 eV per formula unit.


Entry 2:
Nd12Er7Mg after structural relaxation, computed with PBE.

Cell: 9.3571 9.3571 9.3571 Å, 107.61 107.61 107.61°
Positions (direct):
Nd 0.7814 0.3250 0.6195
Nd 0.6750 0.3805 0.2186
Nd 0.4000 0.0590 0.2931
Nd 0.9410 0.7069 0.6000
Nd 0.3805 0.2186 0.6750
Nd 0.7069 0.6000 0.9410
Nd 0.2931 0.4000 0.0590
Nd 0.6195 0.7814 0.3250
Nd 0.0590 0.2931 0.4000
Nd 0.6000 0.9410 0.7069
Nd 0.3250 0.6195 0.7814
Nd 0.2186 0.6750 0.3805
Er 0.1033 0.6842 0.9935
Er 0.3158 0.0065 0.8967
Er 0.0065 0.8967 0.3158
Er 0.5000 0.5000 0.5000
Er 0.9935 0.1033 0.6842
Er 0.6842 0.9935 0.1033
Er 0.8967 0.3158 0.0065
Mg 0.0000 0.0000 0.0000

## Properties
The energy is -4.399 eV per atom. For the mass density, the calculation gives 7.245 g cm⁻³. The formation energy comes out at 0.138 eV/atom. The value obtained for the energy above the most stable polymorph in this dataset is 0.00 eV per formula unit.


Entry 3:
Sm4Y9Tm11 after structural relaxation, computed with PBE.

Cell: 3.6703 14.9954 14.9954 Å, 112.80 90.00 90.00°
Positions (direct):
Sm 0.5000 0.5537 0.7544
Sm 0.5000 0.4463 0.2456
Sm 0.5000 0.7544 0.5537
Sm 0.5000 0.2456 0.4463
Y 0.5000 0.6326 0.1619
Y 0.5000 0.3674 0.8381
Y 0.5000 0.1619 0.6326
Y 0.5000 0.8381 0.3674
Y 0.5000 0.7871 0.9331
Y 0.5000 0.2129 0.0669
Y 0.5000 0.9331 0.7871
Y 0.5000 0.0669 0.2129
Y 0.5000 0.5000 0.5000
Tm 0.0000 0.5931 0.9550
Tm 0.0000 0.4069 0.0450
Tm 0.0000 0.9550 0.5931
Tm 0.0000 0.0450 0.4069
Tm 0.0000 0.6348 0.3652
Tm 0.0000 0.3652 0.6348
Tm 0.0000 0.8409 0.1591
Tm 0.0000 0.1591 0.8409
Tm 0.0000 0.0000 0.0000
Tm 0.0000 0.7112 0.7112
Tm 0.0000 0.2888 0.2888

## Properties
The energy is -5.212 eV per atom. For the mass density, the calculation gives 7.115 g cm⁻³. The formation energy comes out at 0.048 eV/atom.


Entry 4:
Cs2YPd2 after structural relaxation, computed with PBE.

Cell: 9.6682 9.6682 3.4535 Å, 90.00 90.00 90.00°
Positions (direct):
Cs 0.3758 0.8758 0.0000
Cs 0.8758 0.6242 0.0000
Cs 0.6242 0.1242 0.0000
Cs 0.1242 0.3758 0.0000
Y 0.0000 0.0000 0.0000
Y 0.5000 0.5000 0.0000
Pd 0.1838 0.6838 0.5000
Pd 0.6838 0.8162 0.5000
Pd 0.8162 0.3162 0.5000
Pd 0.3162 0.1838 0.5000

## Properties
The energy is -3.192 eV per atom. For the mass density, the calculation gives 5.839 g cm⁻³. The formation energy comes out at 0.519 eV/atom. The value obtained for the energy above the most stable polymorph in this dataset is 0.69 eV per formula unit.


Entry 5:
Ce2PuHfN4 after structural relaxation, computed with PBE.

Cell: 3.4145 5.9349 6.0270 Å, 108.86 90.00 90.00°
Positions (direct):
Ce 0.5000 0.0000 0.5000
Ce 0.0000 0.5000 0.5000
Pu 0.5000 0.5000 0.0000
Hf 0.0000 0.0000 0.0000
N 0.5000 0.2275 0.2205
N 0.5000 0.7725 0.7795
N 0.0000 0.2431 0.7756
N 0.0000 0.7569 0.2244

## Properties
The energy is -10.215 eV per atom. For the mass density, the calculation gives 10.901 g cm⁻³. The formation energy (no corrections) is -1.53 eV per atom.


Entry 6:
CdRuBr2 after structural relaxation, computed with PBE.

Cell: 6.8160 6.8160 6.8160 Å, 146.48 146.48 48.13°
Positions (direct):
Ru 0.7500 0.2500 0.5000
Br 0.0000 0.0000 0.0000
Br 0.2500 0.7500 0.5000
Cd 0.5000 0.5000 0.0000

## Properties
The energy is -2.799 eV per atom. For the mass density, the calculation gives 6.447 g cm⁻³. The formation energy (no corrections) is 0.58 eV per atom. The value obtained for the energy above the most stable polymorph in this dataset is 2.47 eV per formula unit.


Entry 7:
Be2InMo after structural relaxation, computed with PBE.

Cell: 4.3408 4.3408 4.3408 Å, 60.00 60.00 60.00°
Positions (direct):
Be 0.0000 0.0000 0.0000
Be 0.2500 0.2500 0.2500
Mo 0.7500 0.7500 0.7500
In 0.5000 0.5000 0.5000

## Properties
The energy is -4.545 eV per atom. For the mass density, the calculation gives 6.569 g cm⁻³. The formation energy comes out at 0.710 eV/atom.


Entry 8:
Ti2NbAl after structural relaxation, computed with PBE.

Cell: 7.6182 7.6182 5.0929 Å, 47.92 151.12 149.61°
Positions (direct):
Nb 0.0000 0.5000 0.5000
Al 0.0000 0.0000 0.0000
Ti 0.9987 0.2493 0.2480
Ti 0.0013 0.7507 0.7520

## Properties
The energy is -7.618 eV per atom. For the mass density, the calculation gives 5.290 g cm⁻³. The formation energy comes out at -0.217 eV/atom.


Entry 9:
Pr3GaGe2 after structural relaxation, computed with PBE.

Cell: 4.3074 12.1705 12.1347 Å, 90.00 90.00 90.00°
Positions (direct):
Pr 0.2500 0.3802 0.0587
Pr 0.7500 0.6198 0.9413
Pr 0.7500 0.8802 0.4413
Pr 0.2500 0.1198 0.5587
Pr 0.2500 0.7006 0.2015
Pr 0.7500 0.2994 0.7985
Pr 0.7500 0.2006 0.2985
Pr 0.2500 0.7994 0.7015
Pr 0.2500 0.4402 0.3773
Pr 0.7500 0.5598 0.6227
Pr 0.7500 0.9402 0.1227
Pr 0.2500 0.0598 0.8773
Ga 0.2500 0.1343 0.1345
Ga 0.7500 0.8657 0.8655
Ga 0.7500 0.6343 0.3655
Ga 0.2500 0.3657 0.6345
Ge 0.2500 0.6857 0.4789
Ge 0.7500 0.3143 0.5211
Ge 0.7500 0.1857 0.0211
Ge 0.2500 0.8143 0.9789
Ge 0.2500 0.0059 0.3118
Ge 0.7500 0.9941 0.6882
Ge 0.7500 0.5059 0.1882
Ge 0.2500 0.4941 0.8118

## Properties
The energy is -5.159 eV per atom. For the mass density, the calculation gives 6.659 g cm⁻³. The formation energy comes out at -0.726 eV/atom. The value obtained for the energy above the most stable polymorph in this dataset is 0.00 eV per formula unit.


Entry 10:
GaRuSe2 after structural relaxation, computed with PBE.

Cell: 5.7796 5.7796 7.0466 Å, 65.79 65.79 90.00°
Positions (direct):
Ru 0.0000 0.0000 0.0000
Ru 0.7500 0.2500 0.5000
Ga 0.5000 0.5000 0.0000
Ga 0.2500 0.7500 0.5000
Se 0.6563 0.1250 0.2500
Se 0.0937 0.6250 0.2500
Se 0.3750 0.3437 0.7500
Se 0.8750 0.9063 0.7500

## Properties
The energy is -4.884 eV per atom. For the mass density, the calculation gives 5.693 g cm⁻³. The formation energy (no corrections) is -0.07 eV per atom.


Entry 11:
ReAs2Cl after structural relaxation, computed with PBE.

Cell: 4.9702 4.9702 3.1904 Å, 90.00 90.00 119.04°
Positions (direct):
Re 0.0000 0.5000 0.5000
As 0.0000 0.0000 0.0000
As 0.5000 0.5000 0.0000
Cl 0.5000 0.0000 0.5000

## Properties
The energy is -5.085 eV per atom. For the mass density, the calculation gives 8.953 g cm⁻³. The formation energy (no corrections) is 0.81 eV per atom. The value obtained for the energy above the most stable polymorph in this dataset is 3.03 eV per formula unit.


Entry 12:
Tb2Ga3Rh4 after structural relaxation, computed with PBE.

Cell: 5.6560 7.3909 8.0077 Å, 90.00 110.68 90.00°
Positions (direct):
Tb 0.1082 0.5827 0.2164
Tb 0.8918 0.4173 0.7836
Tb 0.3918 0.0827 0.7836
Tb 0.6082 0.9173 0.2164
Ga 0.0000 0.0000 0.0000
Ga 0.5000 0.5000 0.0000
Ga 0.5220 0.7500 0.5441
Ga 0.9780 0.2500 0.4559
Ga 0.4780 0.2500 0.4559
Ga 0.0220 0.7500 0.5441
Rh 0.6894 0.7500 0.8787
Rh 0.8106 0.2500 0.1213
Rh 0.3106 0.2500 0.1213
Rh 0.1894 0.7500 0.8787
Rh 0.1787 0.9773 0.3575
Rh 0.8213 0.0227 0.6425
Rh 0.3213 0.4773 0.6425
Rh 0.6787 0.5227 0.3575

## Properties
The energy is -6.170 eV per atom. For the mass density, the calculation gives 9.954 g cm⁻³. The formation energy comes out at -0.865 eV/atom.


Entry 13:
MgIn4Hg2 after structural relaxation, computed with PBE.

Cell: 3.3244 3.3246 19.2285 Å, 89.99 90.00 120.00°
Positions (direct):
Mg 0.0000 0.0000 0.5000
In 0.6667 0.3334 0.0711
In 0.3333 0.6666 0.9289
In 0.6667 0.3333 0.6334
In 0.3333 0.6667 0.3666
Hg 0.6670 0.3339 0.7874
Hg 0.3330 0.6661 0.2126

## Properties
The energy is -1.867 eV per atom. For the mass density, the calculation gives 7.983 g cm⁻³. The formation energy comes out at 0.012 eV/atom.


Entry 14:
SrRu2Se after structural relaxation, computed with PBE.

Cell: 5.7102 5.7102 5.7102 Å, 148.70 128.43 61.58°
Positions (direct):
Ru 0.9648 0.9648 0.0000
Ru 0.5352 0.5352 0.0000
Se 0.7500 0.2500 0.5000
Sr 0.2500 0.7500 0.5000

## Properties
The energy is -5.613 eV per atom. For the mass density, the calculation gives 8.155 g cm⁻³. The formation energy (no corrections) is 0.32 eV per atom.


Entry 15:
Dy2HoIr after structural relaxation, computed with PBE.

Cell: 3.4869 3.4869 8.7176 Å, 90.00 90.00 90.00°
Positions (direct):
Ir 0.5000 0.5000 0.0000
Ho 0.5000 0.5000 0.5000
Dy 0.0000 0.0000 0.8132
Dy 0.0000 0.0000 0.1868

## Properties
The energy is -6.047 eV per atom. For the mass density, the calculation gives 10.687 g cm⁻³. The formation energy comes out at -0.386 eV/atom. The value obtained for the energy above the most stable polymorph in this dataset is 0.80 eV per formula unit.


Entry 16:
Nd12Sm5Al2 after structural relaxation, computed with PBE.

Cell: 8.1079 9.9330 9.0704 Å, 73.34 90.00 114.09°
Positions (direct):
Nd 0.9478 0.8957 0.1676
Nd 0.0645 0.7292 0.8641
Nd 0.6647 0.7292 0.8641
Nd 0.0814 0.6929 0.4695
Nd 0.6116 0.6929 0.4695
Nd 0.4818 0.9636 0.6914
Nd 0.5182 0.0364 0.3086
Nd 0.9186 0.3071 0.5305
Nd 0.3884 0.3071 0.5305
Nd 0.9355 0.2708 0.1359
Nd 0.3353 0.2708 0.1359
Nd 0.0522 0.1043 0.8324
Sm 0.2491 0.4982 0.7837
Sm 0.3162 0.6324 0.1659
Sm 0.0000 0.0000 0.5000
Sm 0.6838 0.3676 0.8341
Sm 0.7509 0.5018 0.2163
Al 0.6610 0.0000 0.0000
Al 0.3390 0.0000 0.0000

## Properties
The energy is -4.590 eV per atom. For the mass density, the calculation gives 6.653 g cm⁻³. The formation energy comes out at 0.057 eV/atom.


Entry 17:
Dy2MnTl3Te6 after structural relaxation, computed with PBE.

Cell: 7.5664 7.5664 8.3976 Å, 98.75 98.75 119.91°
Positions (direct):
Dy 0.3358 0.6642 0.0000
Dy 0.6642 0.3358 0.0000
Mn 0.0000 0.0000 0.0000
Tl 0.1780 0.8220 0.5000
Tl 0.8220 0.1780 0.5000
Tl 0.5000 0.5000 0.5000
Te 0.9335 0.6199 0.7957
Te 0.7565 0.7565 0.2163
Te 0.0665 0.3801 0.2043
Te 0.6199 0.9335 0.7957
Te 0.2435 0.2435 0.7837
Te 0.3801 0.0665 0.2043

## Properties
The energy is -4.430 eV per atom. For the mass density, the calculation gives 7.355 g cm⁻³. The formation energy (no corrections) is -0.74 eV per atom.


Entry 18:
Rb2BIBr6 after structural relaxation, computed with PBE.

Cell: 8.4827 8.4827 7.9542 Å, 57.78 57.78 90.00°
Positions (direct):
I 0.0000 0.0000 0.0000
B 0.5000 0.5000 0.0000
Br 0.3194 0.3194 0.3612
Br 0.6806 0.6806 0.6388
Br 0.2587 0.2587 0.0000
Br 0.7413 0.7413 0.0000
Br 0.7413 0.2587 0.0000
Br 0.2587 0.7413 0.0000
Rb 0.7500 0.2500 0.5000
Rb 0.2500 0.7500 0.5000

## Properties
The energy is -2.565 eV per atom. For the mass density, the calculation gives 3.481 g cm⁻³. The formation energy (no corrections) is -0.55 eV per atom.


Entry 19:
MgCoMo2 after structural relaxation, computed with PBE.

Cell: 3.1394 3.1394 6.2300 Å, 90.00 90.00 90.00°
Positions (direct):
Co 0.0000 0.0000 0.4801
Mg 0.5000 0.5000 0.7333
Mo 0.0000 0.0000 0.0288
Mo 0.5000 0.5000 0.2579

## Properties
The energy is -7.331 eV per atom. For the mass density, the calculation gives 7.440 g cm⁻³. The formation energy comes out at 0.260 eV/atom.


Entry 20:
BeGaReI2 after structural relaxation, computed with PBE.

Cell: 5.8486 5.1195 5.8486 Å, 90.00 90.00 90.00°
Positions (direct):
I 0.0000 0.0000 0.5000
I 0.5000 0.0000 0.0000
Re 0.0000 0.5000 0.0000
Ga 0.0000 0.0000 0.0000
Be 0.5000 0.5000 0.5000

## Properties
The energy is -2.814 eV per atom. For the mass density, the calculation gives 4.919 g cm⁻³. The formation energy (no corrections) is 1.65 eV per atom.


Entry 21:
Cd5Te after structural relaxation, computed with PBE.

Cell: 7.0490 7.0490 7.7470 Å, 60.79 60.79 28.61°
Positions (direct):
Cd 0.9614 0.9614 0.0255
Cd 0.6538 0.6538 0.7170
Cd 0.3256 0.3256 0.4009
Cd 0.4441 0.4441 0.6870
Cd 0.0424 0.0424 0.3250
Te 0.7394 0.7394 0.0111

## Properties
The energy is -1.269 eV per atom. For the mass density, the calculation gives 7.191 g cm⁻³. The formation energy (no corrections) is 0.02 eV per atom. The value obtained for the energy above the most stable polymorph in this dataset is 0.00 eV per formula unit.


Entry 22:
NdTm2In after structural relaxation, computed with PBE.

Cell: 4.8227 4.8746 4.8746 Å, 90.00 90.00 90.00°
Positions (direct):
Tm 0.0000 0.0000 0.5000
Tm 0.0000 0.5000 0.0000
Nd 0.5000 0.5000 0.5000
In 0.5000 0.0000 0.0000

## Properties
The energy is -4.368 eV per atom. For the mass density, the calculation gives 8.650 g cm⁻³. The formation energy comes out at -0.256 eV/atom. The value obtained for the energy above the most stable polymorph in this dataset is 0.00 eV per formula unit.


Entry 23:
KRb5Au6 after structural relaxation, computed with PBE.

Cell: 5.8665 8.2775 10.1402 Å, 114.05 106.76 90.12°
Positions (direct):
K 0.0000 0.0000 0.0000
Au 0.1638 0.4072 0.3270
Au 0.1633 0.9199 0.3270
Au 0.4998 0.2382 0.0000
Au 0.5002 0.7618 0.0000
Au 0.8367 0.0801 0.6730
Au 0.8362 0.5928 0.6730
Rb 0.3310 0.8310 0.6620
Rb 0.6649 0.6649 0.3298
Rb 0.0000 0.5000 0.0000
Rb 0.3351 0.3351 0.6702
Rb 0.6690 0.1690 0.3380

## Properties
The energy is -2.409 eV per atom. For the mass density, the calculation gives 6.417 g cm⁻³. The formation energy comes out at -0.276 eV/atom.